First-principles (PBE) data for a relaxed structure of SrTmSc4Se8, as listed in Alexandria via LeMat-Bulk.

```
SrTmSc4Se8
1.0
8.1611 0.0000 0.0000
4.0806 7.0677 0.0000
4.0806 2.3559 6.8073
Sr Tm Sc Se
1 1 4 8
direct
0.3701 0.3701 0.8896
0.0019 0.0019 0.9942
0.6262 0.6262 0.1213
0.0007 0.4964 0.5023
0.4964 0.0007 0.5023
0.0007 0.0007 0.5023
0.2404 0.7959 0.7233
0.7959 0.2404 0.7233
0.2404 0.2404 0.7233
0.2309 0.2309 0.3072
0.7538 0.2316 0.2608
0.2316 0.7538 0.2608
0.7538 0.7538 0.2608
0.7570 0.7570 0.7289
```

Computed properties:
The density of states at the Fermi level comes out at 0.476 states/eV per atom. The calculation puts the total magnetic moment at 0.0 μB per formula unit. As for the uncorrected formation energy: -159.8 kJ/mol of atoms. The space-group type is No. 160. The crystal system is trigonal.

=====

First-principles (PBE) data for a relaxed structure of Sr3TmSc3Se8, as listed in Alexandria via LeMat-Bulk.

```
Sr3TmSc3Se8
1.0
-1.9263 -5.6850 5.3797
7.7152 1.2282 -1.9756
-3.9201 5.7954 4.7189
Sr Tm Sc Se
3 1 3 8
direct
0.0000 0.0000 0.0000
0.0000 0.5000 0.0000
0.5000 0.5000 0.0000
0.0000 0.0000 0.5000
0.5000 0.0000 0.5000
0.5000 0.5000 0.5000
0.0000 0.5000 0.5000
0.2608 0.5217 0.2826
0.7392 0.4783 0.7174
0.7551 0.5101 0.2800
0.2449 0.4899 0.7200
0.7550 0.0250 0.2799
0.2450 0.9750 0.7201
0.2699 0.0249 0.2800
0.7301 0.9751 0.7200
```

Computed properties:
The density of states at the Fermi level comes out at 0.315 states/eV per atom. The calculation puts the total magnetic moment at 0.0 μB per formula unit. As for the uncorrected formation energy: -176.8 kJ/mol of atoms. The space-group type is No. 166. The crystal system is trigonal.

=====

First-principles (PBE) data for a relaxed structure of Sr3Y3ScSe8, as listed in Alexandria via LeMat-Bulk.

```
Sr3Y3ScSe8
1.0
8.2701 0.0000 0.0000
-4.1351 7.1633 -0.0253
0.0000 -4.7495 7.1577
Sr Y Sc Se
3 3 1 8
direct
0.0000 0.0000 0.0000
0.0000 0.5000 0.0000
0.5000 0.5000 0.0000
0.5000 0.0000 0.5000
0.5000 0.5000 0.5000
0.0000 0.5000 0.5000
0.0000 0.0000 0.5000
0.2562 0.5124 0.2684
0.7438 0.4876 0.7316
0.7644 0.5288 0.2788
0.2356 0.4712 0.7212
0.7644 0.0145 0.2791
0.2356 0.9855 0.7209
0.2501 0.0145 0.2791
0.7499 0.9855 0.7209
```

Computed properties:
The density of states at the Fermi level comes out at 0.271 states/eV per atom. The calculation puts the total magnetic moment at 0.0 μB per formula unit. As for the uncorrected formation energy: -184.0 kJ/mol of atoms. The space-group type is No. 166. The crystal system is trigonal.

=====

First-principles (PBE) data for a relaxed structure of Sr2YScSe4, as listed in Alexandria via LeMat-Bulk.

```
Sr2YScSe4
1.0
4.1600 0.0000 0.0000
0.0000 7.1864 0.1176
0.0000 -2.5205 6.9440
Sr Y Sc Se
2 1 1 4
direct
0.5000 0.0000 0.5000
0.0000 0.5000 0.5000
0.5000 0.5000 0.0000
0.0000 0.0000 0.0000
0.5000 0.2339 0.2221
0.5000 0.7661 0.7779
0.0000 0.2506 0.7731
0.0000 0.7494 0.2269
```

Computed properties:
The density of states at the Fermi level comes out at 0.488 states/eV per atom. The calculation puts the total magnetic moment at 0.0 μB per formula unit. As for the uncorrected formation energy: -176.2 kJ/mol of atoms. The space-group type is No. 10. The crystal system is monoclinic.